Entry from Alexandria: a relaxed PrCrFeC2 crystal (PBE-GGA).

Results
For the volume, the calculation gives 64.5 Å³ per cell. The symmetry is I-4m2. The total magnetic moment comes out at 0.92 μB/f.u. The calculated total energy comes out at -41.908 eV per cell. As for the formation energy: -0.12 eV/atom.

Cell: 5.726 5.726 5.726 Å, 144.01 144.01 51.81°
Element x y z (fractional)
Pr  0.000  0.000  0.000
Cr  0.250  0.750  0.500
Fe  0.750  0.250  0.500
C  0.332  0.332  0.000
C  0.668  0.668  0.000



Entry from Alexandria: a relaxed La2TbPr6Nd crystal (PBE-GGA).

Results
For the volume, the calculation gives 721.1 Å³ per cell. The symmetry is C2/c. The total magnetic moment comes out at 0.00 μB/f.u. The calculated total energy comes out at -93.708 eV per cell. As for the formation energy: 0.11 eV/atom.

Cell: 8.970 8.970 10.316 Å, 95.69 95.69 117.72°
Element x y z (fractional)
La  0.187  0.283  0.041
La  0.283  0.187  0.541
La  0.717  0.813  0.459
La  0.813  0.717  0.959
Tb  0.012  0.988  0.250
Tb  0.988  0.012  0.750
Pr  0.021  0.583  0.189
Pr  0.119  0.742  0.556
Pr  0.258  0.881  0.944
Pr  0.298  0.497  0.378
Pr  0.417  0.979  0.311
Pr  0.497  0.298  0.878
Pr  0.503  0.702  0.122
Pr  0.583  0.021  0.689
Pr  0.702  0.503  0.622
Pr  0.742  0.119  0.056
Pr  0.881  0.258  0.444
Pr  0.979  0.417  0.811
Nd  0.403  0.597  0.750
Nd  0.597  0.403  0.250



Entry from Alexandria: a relaxed Sn5PdAu2 crystal (PBE-GGA).

Results
For the volume, the calculation gives 487.1 Å³ per cell. The symmetry is Cmcm. The total magnetic moment comes out at 0.00 μB/f.u. The calculated total energy comes out at -64.440 eV per cell. As for the formation energy: -0.06 eV/atom.

Cell: 7.518 7.518 13.664 Å, 90.00 90.00 140.89°
Element x y z (fractional)
Sn  0.050  0.950  0.624
Sn  0.050  0.950  0.876
Sn  0.230  0.770  0.250
Sn  0.284  0.716  0.576
Sn  0.284  0.716  0.924
Sn  0.716  0.284  0.076
Sn  0.716  0.284  0.424
Sn  0.770  0.230  0.750
Sn  0.950  0.050  0.124
Sn  0.950  0.050  0.376
Pd  0.188  0.812  0.750
Pd  0.812  0.188  0.250
Au  0.130  0.870  0.065
Au  0.130  0.870  0.435
Au  0.870  0.130  0.565
Au  0.870  0.130  0.935



Entry from Alexandria: a relaxed V2SiW crystal (PBE-GGA).

Results
For the volume, the calculation gives 55.4 Å³ per cell. The symmetry is I-4m2. The total magnetic moment comes out at 0.80 μB/f.u. The calculated total energy comes out at -37.175 eV per cell.

Cell: 4.237 4.237 4.237 Å, 117.90 117.90 93.69°
Element x y z (fractional)
V  0.000  0.000  0.000
V  0.750  0.250  0.500
Si  0.250  0.750  0.500
W  0.500  0.500  0.000



Entry from Alexandria: a relaxed ZnCoSCl2 crystal (PBE-GGA).

Results
For the volume, the calculation gives 109.4 Å³ per cell. The energy above the most stable polymorph in this dataset is 309 meV per atom. The symmetry is P4/mmm. The total magnetic moment comes out at 2.94 μB/f.u. The calculated total energy comes out at -14.598 eV per cell.

Cell: 4.687 4.687 4.983 Å, 90.00 90.00 90.00°
Element x y z (fractional)
Zn  0.000  0.000  0.000
Co  0.500  0.500  0.500
S  0.000  0.000  0.500
Cl  0.000  0.500  0.000
Cl  0.500  0.000  0.000



Entry from Alexandria: a relaxed EuTlGe crystal (PBE-GGA).

Results
For the volume, the calculation gives 84.2 Å³ per cell. The energy above the most stable polymorph in this dataset is 0 meV per atom. The symmetry is P3m1. The total magnetic moment comes out at 6.98 μB/f.u. The calculated total energy comes out at -18.324 eV per cell. As for the formation energy: -0.36 eV/atom.

Cell: 4.597 4.597 4.602 Å, 90.00 90.00 120.00°
Element x y z (fractional)
Eu  0.000  0.000  0.000
Tl  0.333  0.667  0.423
Ge  0.667  0.333  0.636



Entry from Alexandria: a relaxed LaSc2ReO8 crystal (PBE-GGA).

Results
For the volume, the calculation gives 161.8 Å³ per cell. The symmetry is Cmmm. The total magnetic moment comes out at 0.00 μB/f.u. The calculated total energy comes out at -102.461 eV per cell.

Cell: 4.901 4.901 6.738 Å, 90.00 90.00 91.70°
Element x y z (fractional)
La  0.000  0.000  0.000
Sc  0.500  0.500  0.241
Sc  0.500  0.500  0.759
Re  0.000  0.000  0.500
O  0.195  0.195  0.298
O  0.195  0.195  0.702
O  0.271  0.729  0.500
O  0.325  0.675  0.000
O  0.675  0.325  0.000
O  0.729  0.271  0.500
O  0.805  0.805  0.298
O  0.805  0.805  0.702



Entry from Alexandria: a relaxed Rb2Cu4Au crystal (PBE-GGA).

Results
For the volume, the calculation gives 216.1 Å³ per cell. The symmetry is I4/mmm. The total magnetic moment comes out at 0.00 μB/f.u. The calculated total energy comes out at -18.011 eV per cell. As for the formation energy: 0.51 eV/atom.

Cell: 9.379 9.379 9.379 Å, 149.17 149.17 44.16°
Element x y z (fractional)
Rb  0.145  0.145  0.000
Rb  0.855  0.855  0.000
Cu  0.000  0.500  0.500
Cu  0.358  0.358  0.000
Cu  0.500  0.000  0.500
Cu  0.642  0.642  0.000
Au  0.500  0.500  0.000



Entry from Alexandria: a relaxed ScIr3F crystal (PBE-GGA).

Results
For the volume, the calculation gives 109.3 Å³ per cell. The energy above the most stable polymorph in this dataset is 1213 meV per atom. The symmetry is Pm-3m. The total magnetic moment comes out at 3.29 μB/f.u. The calculated total energy comes out at -26.105 eV per cell.

Cell: 4.781 4.781 4.781 Å, 90.00 90.00 90.00°
Element x y z (fractional)
Sc  0.000  0.000  0.000
Ir  0.000  0.000  0.500
Ir  0.000  0.500  0.000
Ir  0.500  0.000  0.000
F  0.500  0.500  0.500



Entry from Alexandria: a relaxed MgAlCl crystal (PBE-GGA).

Results
For the volume, the calculation gives 87.7 Å³ per cell. The energy above the most stable polymorph in this dataset is 747 meV per atom. The symmetry is F-43m. The total magnetic moment comes out at 0.00 μB/f.u. The calculated total energy comes out at -6.492 eV per cell.

Cell: 4.987 4.987 4.987 Å, 60.00 60.00 60.00°
Element x y z (fractional)
Mg  0.000  0.000  0.000
Al  0.500  0.500  0.500
Cl  0.750  0.750  0.750



Entry from Alexandria: a relaxed TaTeRh2 crystal (PBE-GGA).

Results
For the volume, the calculation gives 71.0 Å³ per cell. The symmetry is C2/m. The total magnetic moment comes out at 0.00 μB/f.u. The calculated total energy comes out at -30.295 eV per cell.

Cell: 4.682 4.682 4.916 Å, 102.40 102.40 42.63°
Element x y z (fractional)
Ta  0.000  0.000  0.000
Te  0.500  0.500  0.500
Rh  0.266  0.266  0.785
Rh  0.734  0.734  0.215



Entry from Alexandria: a relaxed NdGe2RuPt crystal (PBE-GGA).

Results
For the volume, the calculation gives 93.5 Å³ per cell. The symmetry is I-4m2. The total magnetic moment comes out at 0.00 μB/f.u. The calculated total energy comes out at -33.205 eV per cell. As for the formation energy: -0.78 eV/atom.

Cell: 6.076 6.076 6.076 Å, 139.55 139.55 58.54°
Element x y z (fractional)
Nd  0.000  0.000  0.000
Ge  0.377  0.377  0.000
Ge  0.623  0.623  0.000
Ru  0.750  0.250  0.500
Pt  0.250  0.750  0.500



Entry from Alexandria: a relaxed Ga3CS crystal (PBE-GGA).

Results
For the volume, the calculation gives 84.1 Å³ per cell. The energy above the most stable polymorph in this dataset is 0 meV per atom. The symmetry is Pm-3m. The total magnetic moment comes out at 0.00 μB/f.u. The calculated total energy comes out at -19.627 eV per cell.

Cell: 4.382 4.382 4.382 Å, 90.00 90.00 90.00°
Element x y z (fractional)
Ga  0.000  0.000  0.500
Ga  0.000  0.500  0.000
Ga  0.500  0.000  0.000
C  0.000  0.000  0.000
S  0.500  0.500  0.500



Entry from Alexandria: a relaxed Tl2Cd3InHg4 crystal (PBE-GGA).

Results
For the volume, the calculation gives 282.1 Å³ per cell. The symmetry is P-4m2. The total magnetic moment comes out at 0.00 μB/f.u. The calculated total energy comes out at -11.177 eV per cell. As for the formation energy: 0.02 eV/atom.

Cell: 4.588 4.588 13.399 Å, 90.00 90.00 90.00°
Element x y z (fractional)
Tl  0.000  0.500  0.232
Tl  0.500  0.000  0.768
Cd  0.000  0.000  0.000
Cd  0.000  0.500  0.645
Cd  0.500  0.000  0.355
In  0.500  0.500  0.000
Hg  0.000  0.000  0.500
Hg  0.000  0.500  0.856
Hg  0.500  0.000  0.144
Hg  0.500  0.500  0.500



Entry from Alexandria: a relaxed Er10TmSc4 crystal (PBE-GGA).

Results
For the volume, the calculation gives 486.8 Å³ per cell. The symmetry is I4/m. The total magnetic moment comes out at 0.00 μB/f.u. The calculated total energy comes out at -66.883 eV per cell. As for the formation energy: 0.57 eV/atom.

Cell: 8.616 8.616 8.616 Å, 106.10 106.10 116.44°
Element x y z (fractional)
Er  0.027  0.939  0.331
Er  0.061  0.392  0.088
Er  0.250  0.750  0.500
Er  0.304  0.973  0.912
Er  0.392  0.304  0.331
Er  0.608  0.696  0.669
Er  0.696  0.027  0.088
Er  0.750  0.250  0.500
Er  0.939  0.608  0.912
Er  0.973  0.061  0.669
Tm  0.000  0.000  0.000
Sc  0.264  0.536  0.801
Sc  0.464  0.264  0.728
Sc  0.536  0.736  0.272
Sc  0.736  0.464  0.199



Entry from Alexandria: a relaxed Na2CrSb2 crystal (PBE-GGA).

Results
For the volume, the calculation gives 264.0 Å³ per cell. The symmetry is P4/mbm. The total magnetic moment comes out at 3.93 μB/f.u. The calculated total energy comes out at -42.322 eV per cell.

Cell: 7.148 7.148 5.168 Å, 90.00 90.00 90.00°
Element x y z (fractional)
Na  0.168  0.332  0.000
Na  0.332  0.832  0.000
Na  0.668  0.168  0.000
Na  0.832  0.668  0.000
Cr  0.000  0.000  0.500
Cr  0.500  0.500  0.500
Sb  0.145  0.645  0.500
Sb  0.355  0.145  0.500
Sb  0.645  0.855  0.500
Sb  0.855  0.355  0.500



Entry from Alexandria: a relaxed BaRePb2 crystal (PBE-GGA).

Results
For the volume, the calculation gives 115.9 Å³ per cell. The energy above the most stable polymorph in this dataset is 425 meV per atom. The symmetry is P4/mmm. The total magnetic moment comes out at 2.69 μB/f.u. The calculated total energy comes out at -18.420 eV per cell. As for the formation energy: 0.84 eV/atom.

Cell: 4.827 4.827 4.976 Å, 90.00 90.00 90.00°
Element x y z (fractional)
Ba  0.000  0.000  0.000
Re  0.500  0.500  0.000
Pb  0.000  0.500  0.500
Pb  0.500  0.000  0.500



Entry from Alexandria: a relaxed Sc2Mo crystal (PBE-GGA).

Results
For the volume, the calculation gives 61.1 Å³ per cell. The energy above the most stable polymorph in this dataset is 186 meV per atom. The symmetry is I4/mmm. The total magnetic moment comes out at 0.00 μB/f.u. The calculated total energy comes out at -22.895 eV per cell. As for the formation energy: 0.20 eV/atom.

Cell: 7.464 7.464 7.464 Å, 157.46 157.46 32.09°
Element x y z (fractional)
Sc  0.152  0.152  0.000
Sc  0.848  0.848  0.000
Mo  0.500  0.500  0.000



Entry from Alexandria: a relaxed PmHfMnN3 crystal (PBE-GGA).

Results
For the volume, the calculation gives 160.7 Å³ per cell. The symmetry is P2_1/m. The total magnetic moment comes out at 0.57 μB/f.u. The calculated total energy comes out at -111.329 eV per cell.

Cell: 7.088 3.241 7.197 Å, 90.00 103.56 90.00°
Element x y z (fractional)
Pm  0.190  0.250  0.209
Pm  0.810  0.750  0.791
Hf  0.348  0.750  0.843
Hf  0.652  0.250  0.157
Mn  0.082  0.250  0.593
Mn  0.918  0.750  0.407
N  0.126  0.250  0.859
N  0.193  0.750  0.502
N  0.438  0.750  0.151
N  0.562  0.250  0.849
N  0.807  0.250  0.498
N  0.874  0.750  0.141



Entry from Alexandria: a relaxed CaZrZn2 crystal (PBE-GGA).

Results
For the volume, the calculation gives 91.8 Å³ per cell. The symmetry is R3m. The total magnetic moment comes out at 0.00 μB/f.u. The calculated total energy comes out at -12.566 eV per cell. As for the formation energy: 0.13 eV/atom.

Cell: 9.260 9.260 9.260 Å, 21.31 21.31 21.31°
Element x y z (fractional)
Ca  0.000  0.000  0.000
Zr  0.226  0.226  0.226
Zn  0.482  0.482  0.482
Zn  0.754  0.754  0.754



Entry from Alexandria: a relaxed SbP2F crystal (PBE-GGA).

Results
For the volume, the calculation gives 66.0 Å³ per cell. The energy above the most stable polymorph in this dataset is 485 meV per atom. The symmetry is Fm-3m. The total magnetic moment comes out at 0.00 μB/f.u. The calculated total energy comes out at -16.596 eV per cell.

Cell: 4.535 4.535 4.535 Å, 60.00 60.00 60.00°
Element x y z (fractional)
Sb  0.000  0.000  0.000
P  0.250  0.250  0.250
P  0.750  0.750  0.750
F  0.500  0.500  0.500



Entry from Alexandria: a relaxed ZrIrI3 crystal (PBE-GGA).

Results
For the volume, the calculation gives 153.4 Å³ per cell. The energy above the most stable polymorph in this dataset is 0 meV per atom. The symmetry is Pm-3m. The total magnetic moment comes out at 2.09 μB/f.u. The calculated total energy comes out at -18.741 eV per cell.

Cell: 5.354 5.354 5.354 Å, 90.00 90.00 90.00°
Element x y z (fractional)
Zr  0.000  0.000  0.000
Ir  0.500  0.500  0.500
I  0.000  0.500  0.500
I  0.500  0.000  0.500
I  0.500  0.500  0.000



Entry from Alexandria: a relaxed Pr4Te2PbSe crystal (PBE-GGA).

Results
For the volume, the calculation gives 257.4 Å³ per cell. The symmetry is P2/m. The total magnetic moment comes out at 0.00 μB/f.u. The calculated total energy comes out at -43.356 eV per cell.

Cell: 7.745 4.492 7.847 Å, 90.00 109.43 90.00°
Element x y z (fractional)
Pr  0.237  0.000  0.231
Pr  0.247  0.500  0.760
Pr  0.753  0.500  0.240
Pr  0.763  0.000  0.769
Te  0.000  0.000  0.500
Te  0.500  0.500  0.500
Pb  0.500  0.000  0.000
Se  0.000  0.500  0.000



Entry from Alexandria: a relaxed MnAl3Fe6 crystal (PBE-GGA).

Results
For the volume, the calculation gives 228.9 Å³ per cell. The symmetry is P2_1/m. The total magnetic moment comes out at 4.70 μB/f.u. The calculated total energy comes out at -145.735 eV per cell. As for the formation energy: -0.17 eV/atom.

Cell: 6.971 4.005 8.519 Å, 90.00 105.75 90.00°
Element x y z (fractional)
Mn  0.050  0.250  0.402
Mn  0.950  0.750  0.598
Al  0.250  0.250  0.000
Al  0.352  0.750  0.800
Al  0.450  0.250  0.601
Al  0.550  0.750  0.399
Al  0.648  0.250  0.200
Al  0.750  0.750  0.000
Fe  0.046  0.750  0.894
Fe  0.142  0.250  0.693
Fe  0.148  0.750  0.195
Fe  0.241  0.750  0.495
Fe  0.339  0.250  0.302
Fe  0.445  0.750  0.103
Fe  0.555  0.250  0.897
Fe  0.661  0.750  0.698
Fe  0.759  0.250  0.505
Fe  0.852  0.250  0.805
Fe  0.858  0.750  0.307
Fe  0.954  0.250  0.106